## w
Density functional theory data (PBE) for a geometry-optimized Sb2Br structure.

POSCAR file:
```
Sb2Br
1.0
4.744 -8.216 0.000
4.744 8.216 0.000
0.000 0.000 4.079
Sb Br
6 3
Cartesian
1.484 -2.571 0.000
2.496 4.324 2.040
6.519 0.000 0.000
4.494 0.000 2.040
1.484 2.571 0.000
2.496 -4.324 2.040
4.744 2.739 0.000
0.000 0.000 2.040
4.744 -2.739 0.000
```

Results
DOS(E_F)   2.220 states/eV/f.u.
Volume   318.0 Å³/cell



## x
Density functional theory data (PBE) for a geometry-optimized Sb2Br structure.

POSCAR file:
```
Sb2Br
1.0
4.215 0.000 0.000
-2.108 3.650 0.000
0.000 0.000 6.264
Sb Br
2 1
Cartesian
2.108 1.217 3.923
0.000 2.434 2.341
0.000 0.000 0.000
```

Results
DOS(E_F)   2.088 states/eV/f.u.
Volume   96.4 Å³/cell



Which of them is the most stable? Correct choice: x.



## w
Density functional theory data (PBE) for a geometry-optimized Ag3C structure.

POSCAR file:
```
Ag3C
1.0
-2.292 4.279 -1.463
-3.815 -2.710 -1.950
-2.428 0.219 4.445
Ag C
6 2
Cartesian
-3.626 1.854 -2.073
-4.075 -1.923 0.760
-2.168 -0.568 1.735
-2.967 2.304 2.602
-1.753 2.194 0.380
-2.480 -0.285 -1.341
0.000 0.000 0.000
-4.267 0.894 0.516
```

Results
DOS(E_F)   2.689 states/eV/f.u.
Volume   130.3 Å³/cell



## x
Density functional theory data (PBE) for a geometry-optimized Ag3C structure.

POSCAR file:
```
Ag3C
1.0
4.941 0.000 -0.002
1.323 4.761 0.002
-2.302 -3.474 2.656
Ag C
3 1
Cartesian
-0.368 0.484 1.451
2.061 1.353 0.103
4.409 3.138 0.103
1.873 -2.464 1.883
```

Results
DOS(E_F)   2.061 states/eV/f.u.
Volume   62.5 Å³/cell



Which of them is the most stable? Correct choice: x.